[1]
The following is a DFT calculation (PBE) of crystalline SmTmAu2 at its relaxed geometry.

POSCAR file:
```
SmTmAu2
1.0
3.5763 0.0000 0.0000
0.0000 3.5763 0.0000
0.0000 0.0000 7.3544
Au Tm Sm
2 1 1
direct
0.0000 0.0000 0.2295
0.0000 0.0000 0.7705
0.5000 0.5000 0.0000
0.5000 0.5000 0.5000
```

Values from the calculation:
Space-group type = P4/mmm (123)
N(E_F) = 1.93 states/eV/cell
E_tot = -4.78 eV/atom



[2]
The following is a DFT calculation (PBE) of crystalline SmTm2Au at its relaxed geometry.

POSCAR file:
```
SmTm2Au
1.0
3.7216 0.0000 0.0000
1.8608 3.2230 0.0000
1.8608 1.0743 9.7483
Au Tm Sm
1 2 1
direct
0.6658 0.6658 0.0026
0.2652 0.2652 0.2043
0.0677 0.0677 0.7969
0.5013 0.5013 0.4962
```

Values from the calculation:
Distance to the lowest polymorph of the same formula = 120 meV per atom
Space-group type = R3m (160)
N(E_F) = 5.07 states/eV/cell
E_tot = -4.54 eV/atom



[3]
The following is a DFT calculation (PBE) of crystalline SmTm2Au at its relaxed geometry.

POSCAR file:
```
SmTm2Au
1.0
-0.3921 3.3886 1.4034
0.6484 0.5994 3.5813
9.5535 3.2693 -0.3773
Tm Au Sm
2 1 1
direct
0.7348 0.7348 0.7955
0.2652 0.2652 0.2045
0.0000 0.0000 0.0000
0.5000 0.5000 0.5000
```

Values from the calculation:
Distance to the lowest polymorph of the same formula = 129 meV per atom
Space-group type = R-3m (166)
N(E_F) = 4.98 states/eV/cell
E_tot = -4.53 eV/atom



[4]
The following is a DFT calculation (PBE) of crystalline SmTm2Au6 at its relaxed geometry.

POSCAR file:
```
SmTm2Au6
1.0
5.2324 0.2037 0.6110
0.7995 8.4701 2.2995
0.3811 -0.2856 8.8001
Au Sm Tm
12 2 4
direct
0.6871 0.2440 0.9828
0.9756 0.4355 0.6767
0.1871 0.9828 0.2440
0.3129 0.7560 0.0172
0.6458 0.1016 0.3542
0.8542 0.6458 0.8984
0.5244 0.3233 0.5645
0.1458 0.3542 0.1016
0.8129 0.0172 0.7560
0.4756 0.6767 0.4355
0.3542 0.8984 0.6458
0.0244 0.5645 0.3233
0.2500 0.1256 0.8744
0.7500 0.8744 0.1256
0.4144 0.5433 0.7903
0.9144 0.7903 0.5433
0.0856 0.2097 0.4567
0.5856 0.4567 0.2097
```

Values from the calculation:
Space-group type = C2/c (15)
N(E_F) = 9.97 states/eV/cell
E_tot = -4.45 eV/atom



In the order shown, the computed calculated formation energy values come out to -3.39, -1.21, -1.18, -6.71 eV/f.u..